[1]
A plane-wave DFT calculation with PBE was carried out for an optimized crystal structure of DyPuGe2.

a b c (Å): 3.303 3.303 8.153
angles (deg): 90.00 90.00 90.00
Positions (direct):
Dy1 0.000 0.000 0.000
Pu1 0.000 0.000 0.500
Ge1 0.500 0.500 0.249
Ge2 0.500 0.500 0.751

Results
The energy above the lowest structure with this stoichiometry comes out at 32 kJ/mol of formula units. The calculation puts the total magnetization at 5.7 μB per formula unit. As for the space group: No. 123. The formation energy comes out at -0.54 eV/atom. The value obtained for the electronic total energy is -30.314 eV/f.u.

***

[2]
A plane-wave DFT calculation with PBE was carried out for an optimized crystal structure of Ag3HgO.

a b c (Å): 4.557 4.557 4.557
angles (deg): 90.00 90.00 90.00
Positions (direct):
Ag1 0.000 0.000 0.500
Ag2 0.000 0.500 0.000
Ag3 0.500 0.000 0.000
Hg1 0.500 0.500 0.500
O1 0.000 0.000 0.000

Results
The energy above the lowest structure with this stoichiometry comes out at 0 kJ/mol of formula units. The calculation puts the total magnetization at 0.0 μB per formula unit. As for the space group: No. 221. The value obtained for the electronic total energy is -13.557 eV/f.u.